Record 1
An optimized crystal structure of CeAg6Br12, computed with PBE.

Cell and atoms, written as extended XYZ:
```
19
Lattice="8.750 2.678 -0.290 -0.373 9.143 -0.290 1.898 2.678 8.546" Properties=species:S:1:pos:R:3 pbc="T T T"
Ag 7.646 7.858 7.244
Br 8.750 3.451 2.428
Br 1.755 5.418 7.870
Br 8.519 9.081 0.097
Br 4.659 4.294 4.739
Br 8.129 7.651 4.635
Ag 5.816 3.479 2.365
Br 5.214 5.819 1.248
Ag 2.628 6.641 0.723
Ag 8.231 9.819 2.923
Br 2.145 6.848 3.332
Ce 0.000 0.000 0.000
Br 2.441 9.399 -0.260
Br 1.524 11.048 5.539
Br 5.060 8.680 6.719
Ag 4.458 11.020 5.602
Br 5.615 10.205 3.228
Br 7.834 5.100 8.227
Ag 2.043 4.680 5.045
```

Output
- E_form (uncorrected) (meV per atom) = -611
- calculated density (g/cm3) = 4.13
- density of states at the Fermi level (states/eV/atom) = 0.682

=====

Record 2
An optimized crystal structure of CaPr2Sn, computed with PBE.

Cell and atoms, written as extended XYZ:
```
4
Lattice="-0.277 4.133 1.176 0.507 -1.138 4.122 6.962 0.658 -0.674" Properties=species:S:1:pos:R:3 pbc="T T T"
Ca 0.115 1.498 2.649
Pr 1.939 0.183 -0.188
Sn 3.596 1.827 2.312
Pr 5.023 0.475 -0.487
```

Output
- calculated density (g/cm3) = 5.62
- density of states at the Fermi level (states/eV/atom) = 1.259
- energy above the most stable polymorph in this dataset (eV per atom) = 0.066

=====

Record 3
An optimized crystal structure of Pm3Nd4Tl2, computed with PBE.

Cell and atoms, written as extended XYZ:
```
9
Lattice="-1.076 4.411 2.410 -5.099 1.719 -5.422 -2.949 -6.276 4.690" Properties=species:S:1:pos:R:3 pbc="T T T"
Nd -2.669 2.322 0.041
Pm -4.811 -0.368 4.009
Tl -2.456 -2.832 4.088
Pm -4.313 0.222 -2.332
Nd -6.455 -2.468 1.636
Nd -3.052 -1.280 0.980
Nd -6.072 1.134 0.697
Tl -6.668 2.686 -2.410
Pm 0.000 0.000 0.000
```

Output
- calculated density (g/cm3) = 8.04
- density of states at the Fermi level (states/eV/atom) = 1.425
- energy above the most stable polymorph in this dataset (eV per atom) = 0.000

=====

Record 4
An optimized crystal structure of Ca4TlAg3, computed with PBE.

Cell and atoms, written as extended XYZ:
```
8
Lattice="4.055 0.000 0.000 0.000 4.771 0.000 0.000 0.000 11.633" Properties=species:S:1:pos:R:3 pbc="T T T"
Ca 0.000 0.000 1.716
Tl 2.027 2.385 0.922
Ca 2.027 2.385 4.227
Ag 0.000 2.385 6.680
Ag 0.000 0.000 4.968
Ag 2.027 0.000 10.684
Ca 2.027 0.000 7.448
Ca 0.000 2.385 9.886
```

Output
- calculated density (g/cm3) = 5.08
- density of states at the Fermi level (states/eV/atom) = 0.549
- energy above the most stable polymorph in this dataset (eV per atom) = 0.014

=====

Record 5
An optimized crystal structure of Ho3Th4ScS8, computed with PBE.

Cell and atoms, written as extended XYZ:
```
16
Lattice="-0.135 6.855 3.578 -7.684 0.981 -2.170 1.972 -6.369 3.919" Properties=species:S:1:pos:R:3 pbc="T T T"
S -3.742 -0.445 4.975
S -1.088 -1.244 2.342
S -1.169 2.160 4.176
Ho -3.910 3.918 0.704
Th 0.918 0.243 3.749
Ho -2.924 0.734 2.663
Sc -3.842 0.490 -1.085
Th 0.986 -3.185 1.959
S -2.106 1.912 0.352
S -3.673 -3.942 3.150
Th 0.000 0.000 0.000
Th -0.068 3.428 1.789
S -4.760 2.711 2.985
S -2.175 5.409 2.177
Ho -2.856 -2.694 0.874
S -4.679 -0.693 1.151
```

Output
- E_form (uncorrected) (meV per atom) = -1885
- calculated density (g/cm3) = 8.26
- density of states at the Fermi level (states/eV/atom) = 0.346

=====

Record 6
An optimized crystal structure of KTa3Cu, computed with PBE.

Cell and atoms, written as extended XYZ:
```
5
Lattice="-1.836 2.683 3.598 -2.801 -3.722 1.347 3.507 -1.569 2.959" Properties=species:S:1:pos:R:3 pbc="T T T"
Ta 1.753 -0.784 1.480
Cu 0.000 0.000 0.000
Ta -1.401 -1.861 0.673
K -0.565 -1.304 3.952
Ta -0.918 1.342 1.799
```

Output
- calculated density (g/cm3) = 9.40
- density of states at the Fermi level (states/eV/atom) = 2.647
- energy above the most stable polymorph in this dataset (eV per atom) = 0.000

=====

Record 7
An optimized crystal structure of AcNdY2, computed with PBE.

Cell and atoms, written as extended XYZ:
```
4
Lattice="-1.232 4.596 -3.478 -4.522 -0.286 -3.771 -4.849 3.209 0.964" Properties=species:S:1:pos:R:3 pbc="T T T"
Ac -5.302 3.760 -3.142
Y -2.651 1.880 -1.571
Nd 0.000 0.000 0.000
Y -7.953 5.639 -4.713
```

Output
- calculated density (g/cm3) = 6.30
- density of states at the Fermi level (states/eV/atom) = 1.798
- energy above the most stable polymorph in this dataset (eV per atom) = 0.070

=====

Record 8
An optimized crystal structure of Tm3CuNi8, computed with PBE.

Cell and atoms, written as extended XYZ:
```
12
Lattice="4.932 0.000 0.000 2.466 4.271 0.000 2.466 1.424 8.064" Properties=species:S:1:pos:R:3 pbc="T T T"
Tm 4.932 2.848 3.848
Ni 6.178 2.128 1.510
Cu 7.398 4.271 3.157
Ni 6.173 4.979 5.508
Tm 7.398 4.271 0.258
Ni 8.623 4.979 5.508
Ni 3.687 2.128 1.510
Ni 7.398 2.857 5.508
Ni 2.466 1.424 3.506
Ni 4.932 4.286 1.510
Ni 7.398 4.271 7.544
Tm 4.932 2.848 6.999
```

Output
- calculated density (g/cm3) = 10.17
- density of states at the Fermi level (states/eV/atom) = 1.050
- VASP energy (eV per atom) = -5.733

=====

Record 9
An optimized crystal structure of Ac2TlCd16, computed with PBE.

Cell and atoms, written as extended XYZ:
```
19
Lattice="-6.094 -0.389 -4.857 -3.503 -6.089 3.397 -4.954 4.120 4.401" Properties=species:S:1:pos:R:3 pbc="T T T"
Cd -6.992 -3.483 -0.210
Cd -7.548 1.139 3.157
Cd -2.482 1.985 2.150
Cd -9.238 -0.256 5.308
Cd -6.448 -1.331 4.209
Cd -7.685 1.390 0.269
Cd -1.778 -2.966 1.663
Tl -13.090 -2.122 2.645
Ac -4.871 -0.789 0.984
Cd -10.033 -3.402 -1.153
Cd -8.801 -3.324 5.006
Cd -10.268 2.009 2.028
Cd -6.852 -3.760 2.675
Cd -3.035 -0.201 -2.339
Cd -1.459 -0.236 0.295
Ac -9.695 -1.571 1.959
Cd -10.610 0.655 -0.754
Cd -8.095 -1.025 -1.286
Cd -9.255 -5.115 1.327
```

Output
- calculated density (g/cm3) = 8.76
- density of states at the Fermi level (states/eV/atom) = 0.313
- VASP energy (eV per atom) = -1.504